Record 1
# LiReSiH2 (PBE-GGA, relaxed)
data_LiReSiH2
_cell_length_a 3.6270
_cell_length_b 3.6270
_cell_length_c 4.6252
_cell_angle_alpha 90.00
_cell_angle_beta 90.00
_cell_angle_gamma 90.00
_symmetry_space_group_name_H-M 'P 4/m m m'
_symmetry_Int_Tables_number 123
_symmetry_space_group_name_Hall '-P 4 2'
loop_
_atom_site_label
_atom_site_type_symbol
_atom_site_fract_x
_atom_site_fract_y
_atom_site_fract_z
_atom_site_occupancy
Li1 Li 0.0000 0.0000 0.0000 1
Re1 Re 0.5000 0.5000 0.5000 1
Si1 Si 0.5000 0.5000 0.0000 1
H1 H 0.0000 0.5000 0.5000 1
# uncorrected energy	-4.925	eV per atom



Record 2
# Co2SiBN (PBE-GGA, relaxed)
data_Co2SiBN
_cell_length_a 3.7788
_cell_length_b 3.7788
_cell_length_c 3.4591
_cell_angle_alpha 90.00
_cell_angle_beta 90.00
_cell_angle_gamma 90.00
_symmetry_space_group_name_H-M 'P 4/m m m'
_symmetry_Int_Tables_number 123
_symmetry_space_group_name_Hall '-P 4 2'
loop_
_atom_site_label
_atom_site_type_symbol
_atom_site_fract_x
_atom_site_fract_y
_atom_site_fract_z
_atom_site_occupancy
Co1 Co 0.0000 0.5000 0.0000 1
Si1 Si 0.0000 0.0000 0.5000 1
B1 B 0.5000 0.5000 0.5000 1
N1 N 0.0000 0.0000 0.0000 1
# formation energy without anion corrections	3.42	eV/f.u.
# uncorrected energy	-6.243	eV per atom